The following is a PBE-GGA calculation of a relaxed AcLaPm2Nd crystal, from Alexandria via LeMat-Bulk.

Properties
Total DFT energy (no corrections) ... -21.768 eV per formula unit
Fermi-level density of states ... 14.9 states/eV/cell
Mass density ... 6.864 g/cm3
Space-group type ... Cmcm, No. 63
Energy of formation from the pure elements ... 1.54 eV/f.u.

Cell and atoms, written as CIF:
```
data_AcLaPm2Nd
_chemical_formula_sum 'Ac2 La2 Pm4 Nd2'
_symmetry_space_group_name_H-M 'P 1'
_symmetry_Int_Tables_number 1
_cell_length_a 7.377
_cell_length_b 8.573
_cell_length_c 7.473
_cell_angle_alpha 125.00
_cell_angle_beta 90.00
_cell_angle_gamma 90.00
loop_
_symmetry_equiv_pos_as_xyz
'x,y,z'
loop_
_atom_site_label
_atom_site_fract_x
_atom_site_fract_y
_atom_site_fract_z
Pm1 0.000 0.688 0.000
Pm2 0.500 0.688 0.000
Pm3 0.000 0.312 0.000
Pm4 0.500 0.312 0.000
Ac1 0.250 0.741 0.482
Ac2 0.750 0.259 0.518
La1 0.250 0.024 0.049
La2 0.750 0.976 0.951
Nd1 0.250 0.283 0.567
Nd2 0.750 0.717 0.433
```

The following is a PBE-GGA calculation of a relaxed AcLa2PmNd2 crystal, from Alexandria via LeMat-Bulk.

Properties
Total DFT energy (no corrections) ... -28.003 eV per formula unit
Fermi-level density of states ... 17.9 states/eV/cell
Mass density ... 6.997 g/cm3
Space-group type ... Pmc2_1, No. 26
Energy of formation from the pure elements ... 0.25 eV/f.u.

Cell and atoms, written as CIF:
```
data_AcLa2PmNd2
_chemical_formula_sum 'Ac2 La4 Pm2 Nd4'
_symmetry_space_group_name_H-M 'P 1'
_symmetry_Int_Tables_number 1
_cell_length_a 5.904
_cell_length_b 7.378
_cell_length_c 10.224
_cell_angle_alpha 90.00
_cell_angle_beta 90.00
_cell_angle_gamma 90.00
loop_
_symmetry_equiv_pos_as_xyz
'x,y,z'
loop_
_atom_site_label
_atom_site_fract_x
_atom_site_fract_y
_atom_site_fract_z
Nd1 0.500 0.757 0.670
Nd2 0.000 0.258 0.835
Nd3 0.500 0.257 0.330
Nd4 0.000 0.758 0.165
La1 0.000 0.757 0.835
La2 0.500 0.508 0.000
La3 0.000 0.257 0.165
La4 0.500 0.008 0.000
Ac1 0.000 0.008 0.500
Ac2 0.000 0.508 0.500
Pm1 0.500 0.758 0.332
Pm2 0.500 0.258 0.668
```

The following is a PBE-GGA calculation of a relaxed Ac4LaPmNd2 crystal, from Alexandria via LeMat-Bulk.

Properties
Total DFT energy (no corrections) ... -34.780 eV per formula unit
Fermi-level density of states ... 13.9 states/eV/cell
Mass density ... 7.698 g/cm3
Space-group type ... I222, No. 23
Energy of formation from the pure elements ... 0.87 eV/f.u.

Cell and atoms, written as CIF:
```
data_Ac4LaPmNd2
_chemical_formula_sum 'Ac4 La1 Pm1 Nd2'
_symmetry_space_group_name_H-M 'P 1'
_symmetry_Int_Tables_number 1
_cell_length_a 6.851
_cell_length_b 8.041
_cell_length_c 8.041
_cell_angle_alpha 101.88
_cell_angle_beta 64.78
_cell_angle_gamma 64.78
loop_
_symmetry_equiv_pos_as_xyz
'x,y,z'
loop_
_atom_site_label
_atom_site_fract_x
_atom_site_fract_y
_atom_site_fract_z
Ac1 0.125 0.875 0.373
Ac2 0.627 0.373 0.875
Ac3 0.875 0.627 0.125
Ac4 0.373 0.125 0.627
La1 0.500 0.500 0.500
Nd1 0.749 0.751 0.751
Nd2 0.251 0.249 0.249
Pm1 0.000 0.000 0.000
```

The following is a PBE-GGA calculation of a relaxed Ac5La2PmNd crystal, from Alexandria via LeMat-Bulk.

Properties
Total DFT energy (no corrections) ... -37.682 eV per formula unit
Fermi-level density of states ... 29.8 states/eV/cell
Mass density ... 7.487 g/cm3
Space-group type ... I4/mcm, No. 140
Energy of formation from the pure elements ... 2.23 eV/f.u.

Cell and atoms, written as CIF:
```
data_Ac5La2PmNd
_chemical_formula_sum 'Ac10 La4 Pm2 Nd2'
_symmetry_space_group_name_H-M 'P 1'
_symmetry_Int_Tables_number 1
_cell_length_a 8.530
_cell_length_b 8.530
_cell_length_c 12.002
_cell_angle_alpha 110.82
_cell_angle_beta 110.82
_cell_angle_gamma 90.00
loop_
_symmetry_equiv_pos_as_xyz
'x,y,z'
loop_
_atom_site_label
_atom_site_fract_x
_atom_site_fract_y
_atom_site_fract_z
Ac1 0.638 0.138 0.725
Ac2 0.086 0.586 0.725
Ac3 0.138 0.086 0.725
Ac4 0.362 0.862 0.275
Ac5 0.914 0.414 0.275
Ac6 0.000 0.000 0.000
Ac7 0.500 0.500 0.000
Ac8 0.414 0.362 0.275
Ac9 0.862 0.914 0.275
Ac10 0.586 0.638 0.725
La1 0.879 0.621 0.000
La2 0.621 0.121 0.000
La3 0.379 0.879 0.000
La4 0.121 0.379 0.000
Pm1 0.750 0.750 0.500
Pm2 0.250 0.250 0.500
Nd1 0.250 0.750 0.500
Nd2 0.750 0.250 0.500
```

The following is a PBE-GGA calculation of a relaxed AcLa6Pm2Nd crystal, from Alexandria via LeMat-Bulk.

Properties
Total DFT energy (no corrections) ... -46.964 eV per formula unit
Fermi-level density of states ... 31.8 states/eV/cell
Mass density ... 6.648 g/cm3
Space-group type ... C2/c, No. 15
Energy of formation from the pure elements ... 0.98 eV/f.u.

Cell and atoms, written as CIF:
```
data_AcLa6Pm2Nd
_chemical_formula_sum 'Ac2 La12 Pm4 Nd2'
_symmetry_space_group_name_H-M 'P 1'
_symmetry_Int_Tables_number 1
_cell_length_a 10.180
_cell_length_b 9.151
_cell_length_c 9.151
_cell_angle_alpha 117.79
_cell_angle_beta 94.17
_cell_angle_gamma 94.17
loop_
_symmetry_equiv_pos_as_xyz
'x,y,z'
loop_
_atom_site_label
_atom_site_fract_x
_atom_site_fract_y
_atom_site_fract_z
Nd1 0.750 0.594 0.406
Nd2 0.250 0.406 0.594
La1 0.550 0.745 0.113
La2 0.950 0.887 0.255
La3 0.813 0.443 0.986
La4 0.879 0.298 0.502
La5 0.687 0.014 0.557
La6 0.313 0.986 0.443
La7 0.050 0.113 0.745
La8 0.187 0.557 0.014
La9 0.621 0.498 0.702
La10 0.450 0.255 0.887
La11 0.121 0.702 0.498
La12 0.379 0.502 0.298
Pm1 0.956 0.701 0.805
Pm2 0.044 0.299 0.195
Pm3 0.456 0.805 0.701
Pm4 0.544 0.195 0.299
Ac1 0.250 0.979 0.021
Ac2 0.750 0.021 0.979
```

The following is a PBE-GGA calculation of a relaxed Ac2LaPmNd2 crystal, from Alexandria via LeMat-Bulk.

Properties
Total DFT energy (no corrections) ... -27.068 eV per formula unit
Fermi-level density of states ... 17.7 states/eV/cell
Mass density ... 7.376 g/cm3
Space-group type ... Pmc2_1, No. 26
Energy of formation from the pure elements ... 0.36 eV/f.u.

Cell and atoms, written as CIF:
```
data_Ac2LaPmNd2
_chemical_formula_sum 'Ac4 La2 Pm2 Nd4'
_symmetry_space_group_name_H-M 'P 1'
_symmetry_Int_Tables_number 1
_cell_length_a 6.005
_cell_length_b 7.439
_cell_length_c 10.345
_cell_angle_alpha 90.00
_cell_angle_beta 90.00
_cell_angle_gamma 90.00
loop_
_symmetry_equiv_pos_as_xyz
'x,y,z'
loop_
_atom_site_label
_atom_site_fract_x
_atom_site_fract_y
_atom_site_fract_z
Pm1 0.500 0.257 0.666
Pm2 0.500 0.757 0.334
Ac1 0.500 0.008 0.000
Ac2 0.500 0.508 0.000
Ac3 0.000 0.258 0.170
Ac4 0.000 0.758 0.830
Nd1 0.000 0.758 0.175
Nd2 0.500 0.257 0.343
Nd3 0.000 0.258 0.825
Nd4 0.500 0.757 0.657
La1 0.000 0.007 0.500
La2 0.000 0.507 0.500
```

The following is a PBE-GGA calculation of a relaxed AcLaPm2Nd2 crystal, from Alexandria via LeMat-Bulk.

Properties
Total DFT energy (no corrections) ... -27.765 eV per formula unit
Fermi-level density of states ... 18.1 states/eV/cell
Mass density ... 7.131 g/cm3
Space-group type ... Pmma, No. 51
Energy of formation from the pure elements ... 0.31 eV/f.u.

Cell and atoms, written as CIF:
```
data_AcLaPm2Nd2
_chemical_formula_sum 'Ac2 La2 Pm4 Nd4'
_symmetry_space_group_name_H-M 'P 1'
_symmetry_Int_Tables_number 1
_cell_length_a 5.893
_cell_length_b 7.342
_cell_length_c 10.165
_cell_angle_alpha 90.00
_cell_angle_beta 90.00
_cell_angle_gamma 90.00
loop_
_symmetry_equiv_pos_as_xyz
'x,y,z'
loop_
_atom_site_label
_atom_site_fract_x
_atom_site_fract_y
_atom_site_fract_z
Nd1 0.000 0.258 0.163
Nd2 0.500 0.508 0.000
Nd3 0.500 0.008 0.000
Nd4 0.000 0.758 0.837
Pm1 0.500 0.757 0.669
Pm2 0.000 0.758 0.164
Pm3 0.500 0.257 0.331
Pm4 0.000 0.258 0.836
Ac1 0.000 0.008 0.500
Ac2 0.000 0.508 0.500
La1 0.500 0.257 0.672
La2 0.500 0.757 0.328
```

The following is a PBE-GGA calculation of a relaxed AcLa2Pm6Nd crystal, from Alexandria via LeMat-Bulk.

Properties
Total DFT energy (no corrections) ... -46.054 eV per formula unit
Fermi-level density of states ... 32.4 states/eV/cell
Mass density ... 6.920 g/cm3
Space-group type ... C2/c, No. 15
Energy of formation from the pure elements ... 1.18 eV/f.u.

Cell and atoms, written as CIF:
```
data_AcLa2Pm6Nd
_chemical_formula_sum 'Ac2 La4 Pm12 Nd2'
_symmetry_space_group_name_H-M 'P 1'
_symmetry_Int_Tables_number 1
_cell_length_a 10.019
_cell_length_b 9.133
_cell_length_c 9.133
_cell_angle_alpha 118.47
_cell_angle_beta 93.59
_cell_angle_gamma 93.59
loop_
_symmetry_equiv_pos_as_xyz
'x,y,z'
loop_
_atom_site_label
_atom_site_fract_x
_atom_site_fract_y
_atom_site_fract_z
Pm1 0.056 0.126 0.740
Pm2 0.118 0.707 0.500
Pm3 0.556 0.740 0.126
Pm4 0.618 0.500 0.707
Pm5 0.944 0.874 0.260
Pm6 0.312 0.976 0.431
Pm7 0.444 0.260 0.874
Pm8 0.382 0.500 0.293
Pm9 0.812 0.431 0.976
Pm10 0.688 0.024 0.569
Pm11 0.188 0.569 0.024
Pm12 0.882 0.293 0.500
Ac1 0.750 0.019 0.981
Ac2 0.250 0.981 0.019
La1 0.543 0.191 0.307
La2 0.957 0.693 0.809
La3 0.043 0.307 0.191
La4 0.457 0.809 0.693
Nd1 0.750 0.593 0.407
Nd2 0.250 0.407 0.593
```